(1)
A plane-wave DFT calculation with PBE-GGA was carried out for crystalline SrPmF5 at its relaxed geometry.

Properties
The total magnetization comes out at 0.000 μB per formula unit. The calculation puts the density of states at the Fermi level at 0.000 states/eV/f.u.

Lattice parameters (Å, degrees): 5.1088 5.1088 8.0946 90.88 90.88 86.18
Closest atoms and distances in Å follow each position.
Fractional positions:
Pm1 0.4868 0.5132 0.2500  7 F 2.30-2.42
F1 0.5877 0.7304 0.5024  2 Pm 2.38-2.42, 1 F 2.57, 1 Sr 2.59
Pm2 0.5132 0.4868 0.7500  7 F 2.30-2.42
F2 0.9486 0.3768 0.6885  1 Pm 2.32, 1 Sr 2.44
F3 0.3768 0.9486 0.1885  1 Pm 2.32, 1 Sr 2.44
F4 0.0514 0.6232 0.3115  1 Pm 2.32, 1 Sr 2.44
F5 0.7304 0.5877 0.0024  2 Pm 2.38-2.42, 1 F 2.57, 1 Sr 2.59
F6 0.8160 0.1840 0.2500  1 Pm 2.30, 2 Sr 2.40
F7 0.1840 0.8160 0.7500  1 Pm 2.30, 2 Sr 2.40
F8 0.4123 0.2696 0.4976  2 Pm 2.38-2.42, 1 F 2.57, 1 Sr 2.59
Sr1 0.0000 0.0000 0.5000  6 F 2.40-2.59
F9 0.6232 0.0514 0.8115  1 Pm 2.32, 1 Sr 2.44
F10 0.2696 0.4123 0.9976  2 Pm 2.38-2.42, 1 F 2.57, 1 Sr 2.59
Sr2 0.0000 0.0000 0.0000  6 F 2.40-2.59

=====

(2)
A plane-wave DFT calculation with PBE-GGA was carried out for crystalline SrPm2F8 at its relaxed geometry.

Properties
The total magnetization comes out at 0.086 μB per formula unit. The calculation puts the density of states at the Fermi level at 0.000 states/eV/f.u.

Lattice parameters (Å, degrees): 3.8442 6.4217 6.8899 117.78 106.20 90.00
Closest atoms and distances in Å follow each position.
Fractional positions:
Sr1 0.5000 0.0000 0.0000  12 F 2.59-2.77
F1 0.3387 0.5590 0.6774  3 Pm 2.40-2.56, 3 F 2.50-2.63, 1 Sr 2.59
Pm1 0.8195 0.3195 0.6390  10 F 2.40-2.66
F2 0.8395 0.8395 0.6790  8 F 2.50-2.72, 2 Pm 2.66, 2 Sr 2.67
F3 0.6613 0.8816 0.3226  3 Pm 2.40-2.56, 3 F 2.50-2.63, 1 Sr 2.59
F4 0.1605 0.1605 0.3210  8 F 2.50-2.72, 2 Pm 2.66, 2 Sr 2.67
Pm2 0.1805 0.6805 0.3610  10 F 2.40-2.66
F5 0.0000 0.3098 0.0000  2 Pm 2.42, 5 F 2.44-2.69
F6 0.3387 0.1184 0.6774  3 Pm 2.40-2.56, 3 F 2.50-2.63, 1 Sr 2.59
F7 0.6613 0.4410 0.3226  3 Pm 2.40-2.56, 3 F 2.50-2.63, 1 Sr 2.59
F8 0.0000 0.6902 0.0000  2 Pm 2.42, 5 F 2.44-2.69

=====

For each record above, in turn, the calculated electronic total energy values are -6.203, -6.344 eV/atom.